ZrV2ClF (PBE+U, optimized geometry); VASP energy = -4.85 eV/atom; V = 20.85 Å³ per atom; DOS(E_F) = 0.973 states/eV per atom
1.0
4.533 0.000 0.000
0.000 4.533 0.000
0.000 0.000 5.072
Zr V Cl F
1 2 1 1
direct
0.000 0.000 0.000
0.000 0.500 0.500
0.500 0.000 0.500
0.500 0.500 0.500
0.500 0.500 0.000